A plane-wave DFT calculation with PBE was carried out for crystalline TlIn2Br at its relaxed geometry.

Geometry as CIF:
```
data_TlIn2Br
_chemical_formula_sum 'Tl1 In2 Br1'
_symmetry_space_group_name_H-M 'P 4/m m m'
_symmetry_Int_Tables_number 123
_symmetry_space_group_name_Hall '-P 4 2'
_cell_length_a 3.5705
_cell_length_b 3.5705
_cell_length_c 9.2896
_cell_angle_alpha 90.00
_cell_angle_beta 90.00
_cell_angle_gamma 90.00
loop_
_atom_site_label
_atom_site_type_symbol
_atom_site_fract_x
_atom_site_fract_y
_atom_site_fract_z
_atom_site_occupancy
Tl1 Tl 0.0000 0.0000 0.0000 1
In1 In 0.5000 0.5000 0.2614 1
Br1 Br 0.0000 0.0000 0.5000 1
```

Formation energy from raw total energies: -0.1525 eV per atom
Calculated density: 7.2 g cm⁻³
Energy above the lowest structure with this stoichiometry: 102 meV/atom